P) Sc2In2Te: relaxed, PBE.

Output
Density of states at the Fermi level ... 2.9 states/eV/f.u.
Symmetry ... No. 127

abc: 7.9739 7.9739 3.9515
angles: 90.00 90.00 90.00
Closest atoms and distances in Å follow each position.
Fractional positions:
Sc 0.1743 0.3257 0.0000  6 In 2.99-3.13
Sc 0.3257 0.8257 0.0000  6 In 2.99-3.13
Sc 0.6743 0.1743 0.0000  6 In 2.99-3.13
Sc 0.8257 0.6743 0.0000  6 In 2.99-3.13
In 0.1271 0.6271 0.5000  1 In 2.87, 6 Sc 2.99-3.13, 2 Te 3.14
In 0.3729 0.1271 0.5000  1 In 2.87, 6 Sc 2.99-3.13, 2 Te 3.14
In 0.6271 0.8729 0.5000  1 In 2.87, 6 Sc 2.99-3.13, 2 Te 3.14
In 0.8729 0.3729 0.5000  1 In 2.87, 6 Sc 2.99-3.13, 2 Te 3.14
Te 0.0000 0.0000 0.5000  4 In 3.14
Te 0.5000 0.5000 0.5000  4 In 3.14



Q) Sc2In2Te: relaxed, PBE.

Output
Density of states at the Fermi level ... 3.4 states/eV/f.u.
Symmetry ... No. 127

abc: 7.4459 7.4459 4.5847
angles: 90.00 90.00 90.00
Closest atoms and distances in Å follow each position.
Fractional positions:
Sc 0.1578 0.3422 0.0000  2 Te 2.81, 2 In 3.10
Sc 0.3422 0.8422 0.0000  2 Te 2.81, 2 In 3.10
Sc 0.6578 0.1578 0.0000  2 Te 2.81, 2 In 3.10
Sc 0.8422 0.6578 0.0000  2 Te 2.81, 2 In 3.10
In 0.1443 0.6443 0.5000  1 In 3.04, 6 Sc 3.10-3.21
In 0.3557 0.1443 0.5000  1 In 3.04, 6 Sc 3.10-3.21
In 0.6443 0.8557 0.5000  1 In 3.04, 6 Sc 3.10-3.21
In 0.8557 0.3557 0.5000  1 In 3.04, 6 Sc 3.10-3.21
Te 0.0000 0.0000 0.0000  4 Sc 2.81
Te 0.5000 0.5000 0.0000  4 Sc 2.81



Relative to the most stable structure, the computed energies are P) 244; Q) 0, all in meV/atom.